DFT (PBE-GGA) results for a relaxed structure of Ta2AlP.

Properties
The calculation puts the polymorph energy (0 for the lowest one) at 0.552 eV/atom. The calculation puts the calculated total energy at -7.9904 eV per atom. The value obtained for the formation enthalpy at 0 K is 224 meV/atom. The density of states at the Fermi level comes out at 1.34 states/eV/atom. As for the symmetry: No. 216. The value obtained for the total magnetization is 0.00 Bohr magnetons per cell.

a = 4.5086 Å, b = 4.5086 Å, c = 4.5086 Å
α = 60.00°, β = 60.00°, γ = 60.00°
Closest atoms and distances in Å follow each position.
Atoms (fractional coordinates):
Ta  0.0000  0.0000  0.0000  4 Ta 2.76, 4 Al 2.76
Ta  0.2500  0.2500  0.2500  4 P 2.76, 4 Ta 2.76
Al  0.7500  0.7500  0.7500  4 P 2.76, 4 Ta 2.76
P  0.5000  0.5000  0.5000  4 Al 2.76, 4 Ta 2.76

***

DFT (PBE-GGA) results for a relaxed structure of TaAl2P.

Properties
The calculation puts the calculated total energy at -6.2443 eV per atom. The value obtained for the formation enthalpy at 0 K is -57 meV/atom. The density of states at the Fermi level comes out at 0.30 states/eV/atom. As for the symmetry: No. 35. The value obtained for the total magnetization is 0.00 Bohr magnetons per cell.

a = 2.9135 Å, b = 2.9135 Å, c = 8.1326 Å
α = 90.00°, β = 90.00°, γ = 107.36°
Closest atoms and distances in Å follow each position.
Atoms (fractional coordinates):
Ta  0.0000  0.0000  0.0000  2 P 2.50, 2 Al 2.75
Al  0.0000  0.0000  0.5289  2 P 2.66, 6 Al 2.76-2.91
Al  0.5000  0.5000  0.2635  2 Ta 2.75, 6 Al 2.76-2.91
P  0.5000  0.5000  0.7773  2 Ta 2.50, 2 Al 2.66

***

DFT (PBE-GGA) results for a relaxed structure of TaAl2P.

Properties
The calculation puts the calculated total energy at -6.2119 eV per atom. The value obtained for the formation enthalpy at 0 K is -25 meV/atom. The density of states at the Fermi level comes out at 0.80 states/eV/atom. As for the symmetry: No. 166. The value obtained for the total magnetization is 0.00 Bohr magnetons per cell.

a = 8.3300 Å, b = 8.3300 Å, c = 8.3300 Å
α = 21.05°, β = 21.05°, γ = 21.05°
Closest atoms and distances in Å follow each position.
Atoms (fractional coordinates):
Ta  0.0000  0.0000  0.0000  6 Al 2.84, 6 Ta 3.04
Al  0.2419  0.2419  0.2419  3 P 2.54, 3 Ta 2.84
Al  0.7581  0.7581  0.7581  3 P 2.54, 3 Ta 2.84
P  0.5000  0.5000  0.5000  6 Al 2.54

***

DFT (PBE-GGA) results for a relaxed structure of Ta4AlP.

Properties
The calculation puts the calculated total energy at -8.8712 eV per atom. The value obtained for the formation enthalpy at 0 K is 556 meV/atom. The density of states at the Fermi level comes out at 0.72 states/eV/atom. As for the symmetry: No. 216. The value obtained for the total magnetization is 0.00 Bohr magnetons per cell.

a = 5.4472 Å, b = 5.4472 Å, c = 5.4472 Å
α = 60.00°, β = 60.00°, γ = 60.00°
Closest atoms and distances in Å follow each position.
Atoms (fractional coordinates):
Ta  0.1239  0.1239  0.1239  6 Ta 2.70-2.75
Ta  0.1239  0.1239  0.6284  6 Ta 2.70-2.75
Ta  0.1239  0.6284  0.1239  6 Ta 2.70-2.75
Ta  0.6284  0.1239  0.1239  6 Ta 2.70-2.75
Al  0.7500  0.7500  0.7500  12 Ta 3.19, 4 P 3.34
P  0.5000  0.5000  0.5000  12 Ta 3.20, 4 Al 3.34

***

DFT (PBE-GGA) results for a relaxed structure of Ta3AlP2.

Properties
The calculation puts the calculated total energy at -8.6645 eV per atom. The value obtained for the formation enthalpy at 0 K is -311 meV/atom. The density of states at the Fermi level comes out at 0.60 states/eV/atom. As for the symmetry: No. 194. The value obtained for the total magnetization is 0.00 Bohr magnetons per cell.

a = 3.5359 Å, b = 3.5359 Å, c = 18.7928 Å
α = 90.00°, β = 90.00°, γ = 120.00°
Closest atoms and distances in Å follow each position.
Atoms (fractional coordinates):
Ta  0.0000  0.0000  0.0000  6 P 2.52
Ta  0.0000  0.0000  0.5000  6 P 2.52
Ta  0.3333  0.6667  0.1507  3 P 2.45
Ta  0.3333  0.6667  0.3493  3 P 2.45
Ta  0.6667  0.3333  0.6507  3 P 2.45
Ta  0.6667  0.3333  0.8493  3 P 2.45
Al  0.0000  0.0000  0.2500  6 Ta 2.77
Al  0.0000  0.0000  0.7500  6 Ta 2.77
P  0.3333  0.6667  0.5790  6 Ta 2.45-2.52
P  0.3333  0.6667  0.9210  6 Ta 2.45-2.52
P  0.6667  0.3333  0.0790  6 Ta 2.45-2.52
P  0.6667  0.3333  0.4210  6 Ta 2.45-2.52

***

DFT (PBE-GGA) results for a relaxed structure of TaAlP2.

Properties
The calculation puts the calculated total energy at -6.6604 eV per atom. The value obtained for the formation enthalpy at 0 K is -57 meV/atom. The density of states at the Fermi level comes out at 0.41 states/eV/atom. As for the symmetry: No. 65. The value obtained for the total magnetization is 0.00 Bohr magnetons per cell.

a = 3.0045 Å, b = 3.0045 Å, c = 7.3410 Å
α = 90.00°, β = 90.00°, γ = 107.46°
Closest atoms and distances in Å follow each position.
Atoms (fractional coordinates):
Ta  0.0000  0.0000  0.0000  4 P 2.54
Al  0.0000  0.0000  0.5000  4 P 2.57
P  0.5000  0.5000  0.2470  2 Ta 2.54, 2 Al 2.57
P  0.5000  0.5000  0.7530  2 Ta 2.54, 2 Al 2.57

***

DFT (PBE-GGA) results for a relaxed structure of TaAlP2.

Properties
The calculation puts the calculated total energy at -7.1117 eV per atom. The value obtained for the formation enthalpy at 0 K is -508 meV/atom. The density of states at the Fermi level comes out at 0.28 states/eV/atom. As for the symmetry: No. 38. The value obtained for the total magnetization is 0.00 Bohr magnetons per cell.

a = 3.4592 Å, b = 5.9886 Å, c = 5.9886 Å
α = 32.53°, β = 90.00°, γ = 90.00°
Closest atoms and distances in Å follow each position.
Atoms (fractional coordinates):
Ta  0.0000  0.0000  0.0000  6 P 2.56-2.60
Al  0.5000  0.7948  0.7948  5 P 2.42-2.45
P  0.0000  0.3319  0.3319  4 Al 2.45, 2 Ta 2.56
P  0.5000  0.5844  0.5844  1 Al 2.42, 4 Ta 2.60

***

DFT (PBE-GGA) results for a relaxed structure of Ta2AlP.

Properties
The calculation puts the polymorph energy (0 for the lowest one) at 1.339 eV/atom. The calculation puts the calculated total energy at -7.2036 eV per atom. The value obtained for the formation enthalpy at 0 K is 1011 meV/atom. The density of states at the Fermi level comes out at 1.16 states/eV/atom. As for the symmetry: No. 122. The value obtained for the total magnetization is 0.00 Bohr magnetons per cell.

a = 7.0671 Å, b = 7.0671 Å, c = 7.0671 Å
α = 131.52°, β = 131.52°, γ = 70.98°
Closest atoms and distances in Å follow each position.
Atoms (fractional coordinates):
Ta  0.0917  0.6250  0.9667  2 P 2.40, 2 Al 2.62
Ta  0.3750  0.3417  0.4667  2 P 2.40, 2 Al 2.62
Ta  0.6583  0.1250  0.0333  2 P 2.40, 2 Al 2.62
Ta  0.8750  0.9083  0.5333  2 P 2.40, 2 Al 2.62
Al  0.2500  0.7500  0.5000  4 Ta 2.62
Al  0.5000  0.5000  0.0000  4 Ta 2.62
P  0.0000  0.0000  0.0000  4 Ta 2.40
P  0.7500  0.2500  0.5000  4 Ta 2.40